Entry 1:
# Li2ScRh2 (GGA-PBE, optimized geometry)
data_Li2ScRh2
_chemical_formula_sum 'Li4 Sc2 Rh4'
_symmetry_space_group_name_H-M 'I 4/m m m'
_symmetry_Int_Tables_number 139
_symmetry_space_group_name_Hall '-I 4 2'
_cell_length_a 3.2984
_cell_length_b 3.2984
_cell_length_c 13.8326
_cell_angle_alpha 90.00
_cell_angle_beta 90.00
_cell_angle_gamma 90.00
loop_
_atom_site_label
_atom_site_fract_x
_atom_site_fract_y
_atom_site_fract_z
Li1 0.0000 0.5000 0.2500
Sc1 0.0000 0.0000 0.0000
Rh1 0.0000 0.0000 0.3942
# - size of the total moment (μB per cell) = 0.0
# - formation energy from the elements (eV/atom) = -0.292
# - distance to the lowest polymorph of the same formula (kJ per mole of atoms) = 3.2
# - theoretical density (g/cm³) = 5.84

=====

Entry 2:
# LiSc4Rh2 (GGA-PBE, optimized geometry)
data_LiSc4Rh2
_chemical_formula_sum 'Li3 Sc12 Rh6'
_symmetry_space_group_name_H-M 'R -3 m'
_symmetry_Int_Tables_number 166
_symmetry_space_group_name_Hall '-R 3 2"'
_cell_length_a 4.5880
_cell_length_b 4.5880
_cell_length_c 22.2650
_cell_angle_alpha 90.00
_cell_angle_beta 90.00
_cell_angle_gamma 120.00
loop_
_atom_site_label
_atom_site_fract_x
_atom_site_fract_y
_atom_site_fract_z
Li1 0.0000 0.0000 0.0000
Sc1 0.0000 0.0000 0.1289
Sc2 0.0000 0.0000 0.3802
Rh1 0.0000 0.0000 0.2528
# - size of the total moment (μB per cell) = 0.0
# - formation energy from the elements (eV/atom) = -0.574
# - theoretical density (g/cm³) = 4.82